# KLaZnF6

A geometry-optimized KLaZnF6 structure (PBE-GGA, Alexandria).

## Properties
For the volume, the calculation gives 18.32 A^3/atom. The uncorrected formation energy is -3.200 eV/atom.

```
18
Lattice="6.023 0.000 0.000 -3.011 5.216 0.000 0.000 0.000 10.497" Properties=species:S:1:pos:R:3 pbc="T T T"
K 0.000 0.000 0.000
K 0.000 0.000 5.249
La 0.000 3.477 2.624
La 3.011 1.739 7.873
Zn 0.000 3.477 7.873
Zn 3.011 1.739 2.624
F -0.970 2.017 6.750
F -1.749 3.367 8.996
F 0.970 2.017 8.996
F -0.779 5.047 6.750
F 2.232 0.169 1.502
F 1.262 1.849 3.747
F 1.749 3.367 6.750
F 0.779 5.047 8.996
F 3.791 0.169 3.747
F 2.041 3.199 1.502
F 4.761 1.849 1.502
F 3.981 3.199 3.747
```

---

# PaCo5H7

A geometry-optimized PaCo5H7 structure (PBE-GGA, Alexandria).

## Properties
For the volume, the calculation gives 7.46 A^3/atom. Its uncorrected energy is -5.296 eV per atom.

```
13
Lattice="5.110 0.000 0.000 2.552 4.464 0.000 2.554 -1.371 4.249" Properties=species:S:1:pos:R:3 pbc="T T T"
Pa 0.000 0.000 0.000
Co 2.387 -0.380 1.879
Co 2.387 1.904 0.216
Co 5.792 1.550 2.130
Co 7.492 1.190 4.044
Co 7.492 3.483 2.374
H 3.903 0.225 3.099
H 3.903 2.882 1.165
H 3.201 0.722 0.992
H 6.022 2.947 1.111
H 6.028 0.155 3.144
H 8.289 2.394 3.288
H 7.383 1.560 2.121
```

---

# BaAuNF2

A geometry-optimized BaAuNF2 structure (PBE-GGA, Alexandria).

## Properties
For the volume, the calculation gives 29.51 A^3/atom. The uncorrected formation energy is -0.546 eV/atom. The value obtained for the energy relative to the lowest polymorph listed for this composition is 603 meV per atom.

```
5
Lattice="4.927 0.000 0.000 0.000 4.927 0.000 0.000 0.000 6.079" Properties=species:S:1:pos:R:3 pbc="T T T"
Ba 0.000 0.000 0.000
Au 2.463 2.463 3.040
N 0.000 0.000 3.040
F 0.000 2.463 0.000
F 2.463 0.000 0.000
```

---

# Ba2ZnHgPd

A geometry-optimized Ba2ZnHgPd structure (PBE-GGA, Alexandria).

## Properties
For the volume, the calculation gives 36.82 A^3/atom. Its uncorrected energy is -2.494 eV per atom.

```
5
Lattice="6.119 0.000 0.000 0.000 6.119 0.000 0.000 0.000 4.916" Properties=species:S:1:pos:R:3 pbc="T T T"
Ba 0.000 3.059 0.000
Ba 3.059 0.000 0.000
Zn 0.000 0.000 2.458
Hg 3.059 3.059 2.458
Pd 0.000 0.000 0.000
```

---

# TaPb2

A geometry-optimized TaPb2 structure (PBE-GGA, Alexandria).

## Properties
For the volume, the calculation gives 23.44 A^3/atom. Its uncorrected energy is -5.838 eV per atom.

```
6
Lattice="3.751 0.000 0.000 0.000 3.790 0.000 0.000 0.000 9.894" Properties=species:S:1:pos:R:3 pbc="T T T"
Ta 0.000 0.000 0.000
Ta 1.875 1.895 4.947
Pb 0.000 0.000 3.394
Pb 0.000 0.000 6.500
Pb 1.875 1.895 1.553
Pb 1.875 1.895 8.341
```

---

# YHg2Cl

A geometry-optimized YHg2Cl structure (PBE-GGA, Alexandria).

## Properties
For the volume, the calculation gives 26.82 A^3/atom. The uncorrected formation energy is -0.413 eV/atom. The value obtained for the energy relative to the lowest polymorph listed for this composition is 297 meV per atom.

```
8
Lattice="3.839 0.000 0.000 0.000 6.122 0.000 0.000 0.000 9.129" Properties=species:S:1:pos:R:3 pbc="T T T"
Y 0.000 0.000 0.000
Y 1.920 3.061 0.000
Hg 0.000 3.061 2.403
Hg 0.000 3.061 6.726
Hg 1.920 0.000 2.403
Hg 1.920 0.000 6.726
Cl 0.000 0.000 4.564
Cl 1.920 3.061 4.564
```

---

# TbCe2ScTl4

A geometry-optimized TbCe2ScTl4 structure (PBE-GGA, Alexandria).

## Properties
For the volume, the calculation gives 27.72 A^3/atom. Its uncorrected energy is -4.293 eV per atom.

```
8
Lattice="2.690 1.553 8.843 -2.690 1.553 8.843 0.000 -3.107 8.843" Properties=species:S:1:pos:R:3 pbc="T T T"
Tb 0.000 0.000 0.000
Ce 0.000 0.000 6.572
Ce 0.000 0.000 19.957
Sc 0.000 0.000 13.264
Tl 0.000 0.000 3.341
Tl 0.000 0.000 9.978
Tl 0.000 0.000 16.550
Tl 0.000 0.000 23.187
```

---

# Tm6Hg3Ru

A geometry-optimized Tm6Hg3Ru structure (PBE-GGA, Alexandria).

## Properties
For the volume, the calculation gives 25.52 A^3/atom. Its uncorrected energy is -4.047 eV per atom.

```
20
Lattice="8.793 0.000 0.000 0.000 11.449 0.000 0.000 0.000 5.070" Properties=species:S:1:pos:R:3 pbc="T T T"
Tm 0.133 2.746 0.000
Tm 1.332 0.954 2.535
Tm 1.715 4.771 2.535
Tm 2.682 10.495 0.000
Tm 3.064 6.678 0.000
Tm 4.263 8.470 2.535
Tm 4.530 2.978 2.535
Tm 5.729 4.770 0.000
Tm 6.111 0.953 0.000
Tm 7.078 6.678 2.535
Tm 7.461 10.495 2.535
Tm 8.660 8.703 0.000
Hg 0.000 5.724 0.000
Hg 1.316 8.146 2.535
Hg 3.081 2.422 0.000
Hg 4.397 0.000 2.535
Hg 5.712 9.027 0.000
Hg 7.477 3.303 2.535
Ru 0.000 0.000 0.000
Ru 4.397 5.724 2.535
```

---

# B5C

A geometry-optimized B5C structure (PBE-GGA, Alexandria).

## Properties
For the volume, the calculation gives 6.85 A^3/atom. The value obtained for the energy relative to the lowest polymorph listed for this composition is 188 meV per atom.

```
12
Lattice="5.815 -1.326 0.000 5.815 1.326 0.000 -0.263 0.000 5.330" Properties=species:S:1:pos:R:3 pbc="T T T"
B 0.032 0.000 0.840
B 1.676 0.000 0.108
B 2.009 0.000 1.934
B 3.560 0.000 0.940
B 5.290 0.000 1.839
B 6.076 0.000 3.491
B 7.806 0.000 4.390
B 9.357 0.000 3.396
B 9.690 0.000 5.222
B 11.334 0.000 4.490
C 3.877 0.000 2.568
C 7.489 0.000 2.762
```

---

# SbCN2F

A geometry-optimized SbCN2F structure (PBE-GGA, Alexandria).

## Properties
For the volume, the calculation gives 9.65 A^3/atom. The uncorrected formation energy is 1.405 eV/atom. The value obtained for the energy relative to the lowest polymorph listed for this composition is 0 meV per atom.

```
5
Lattice="3.607 0.000 0.000 0.000 3.607 0.000 0.000 0.000 3.709" Properties=species:S:1:pos:R:3 pbc="T T T"
Sb 0.000 0.000 0.000
C 1.804 1.804 1.855
N 0.000 1.804 1.855
N 1.804 0.000 1.855
F 1.804 1.804 0.000
```